Record 1
The following is a PBE calculation of a relaxed structure of Rb2ReBF6, from Alexandria.

Values from the calculation:
* magnetization: 2.00 μB/f.u.

Lattice parameters (Å, degrees): 6.098 6.098 10.214 90.00 90.00 90.00
Space group I4/mmm (No. 139)
Asymmetric unit:
1 Rb 0.000 0.500 0.250
2 Re 0.000 0.000 0.000
3 B 0.000 0.000 0.500
4 F 0.000 0.000 0.197
5 F 0.232 0.232 0.000

Record 2
The following is a PBE calculation of a relaxed structure of PrNd3Tm3, from Alexandria.

Values from the calculation:
* E above lowest polymorph: 1.171 eV/f.u.
* calculated formation energy: 0.190 eV per atom
* magnetization: 0.00 μB/f.u.

Lattice parameters (Å, degrees): 8.7036 8.7036 22.1907 90.00 90.00 120.00
Space group R-3 (No. 148, hexagonal axes)
Asymmetric unit:
1 Pr 0.0000 0.0000 0.1559
2 Nd 0.0475 0.4475 0.3808
3 Tm 0.0051 0.2294 0.5582

Record 3
The following is a PBE calculation of a relaxed structure of Mg2FeW3S8, from Alexandria.

Values from the calculation:
* magnetization: 4.02 μB/f.u.

Lattice parameters (Å, degrees): 6.8631 6.8631 18.8600 90.00 90.00 120.00
Space group R3m (No. 160, hexagonal axes)
Asymmetric unit:
1 Mg 0.0000 0.0000 0.0000
2 Mg 0.0000 0.0000 0.1716
3 Fe 0.0000 0.0000 0.4996
4 W 0.1998 0.3997 0.3570
5 S 0.0000 0.0000 0.2985
6 S 0.0000 0.0000 0.7841
7 S 0.9997 0.4999 0.7601
8 S 0.0311 0.5156 0.2666

Record 4
The following is a PBE calculation of a relaxed structure of PrHoCuGe, from Alexandria.

Values from the calculation:
* calculated formation energy: -0.457 eV per atom
* magnetization: 0.00 μB/f.u.

Lattice parameters (Å, degrees): 7.172 7.172 7.172 90.00 90.00 90.00
Space group F-43m (No. 216)
Asymmetric unit:
1 Pr 0.000 0.000 0.000
2 Ho 0.000 0.000 0.500
3 Cu 0.250 0.250 0.250
4 Ge 0.250 0.250 0.750

| no. | raw total energy (eV/atom) |
| --- | --- |
| 1 | -4.8520 |
| 2 | -4.4525 |
| 3 | -6.6861 |
| 4 | -4.9752 |